(1)
A plane-wave DFT calculation with PBE was carried out for a geometry-optimized SrLaNpN4 structure.

Results
space-group type	I4mm
uncorrected energy	-8.63	eV/atom
E_form (uncorrected)	-1.083	eV per atom

Geometry as POSCAR:
```
SrLaNpN4
1.0
-0.7799 -0.7311 -4.0933
1.4745 -3.9427 0.4233
-6.2350 0.2947 3.3215
Sr La Np N
1 1 1 4
Direct
0.3520 0.3520 0.7040
0.6467 0.6467 0.2934
0.9970 0.9970 0.9941
0.0061 0.5061 0.0122
0.5061 0.0061 0.0122
0.8353 0.8353 0.6707
0.1568 0.1568 0.3136
```

=====

(2)
A plane-wave DFT calculation with PBE was carried out for a geometry-optimized SrLa2NpN4 structure.

Results
space-group type	Cmcm
uncorrected energy	-8.19	eV/atom
E_form (uncorrected)	-0.963	eV per atom

Geometry as POSCAR:
```
SrLa2NpN4
1.0
3.7162 0.0000 0.0000
-1.8581 6.3695 0.0000
0.0000 0.0000 12.9803
Sr La Np N
2 4 2 8
Direct
0.1310 0.2620 0.7500
0.8690 0.7380 0.2500
0.3712 0.7423 0.5239
0.6288 0.2577 0.0239
0.6288 0.2577 0.4761
0.3712 0.7423 0.9761
0.8636 0.7271 0.7500
0.1364 0.2729 0.2500
0.2477 0.4954 0.1240
0.7523 0.5046 0.6240
0.7523 0.5046 0.8760
0.2477 0.4954 0.3760
0.0000 0.0000 0.5000
0.0000 0.0000 0.0000
0.4576 0.9152 0.7500
0.5424 0.0848 0.2500
```

=====

(3)
A plane-wave DFT calculation with PBE was carried out for a geometry-optimized SrLaNpN3 structure.

Results
space-group type	P2_1/m
uncorrected energy	-8.30	eV/atom
E_form (uncorrected)	-0.876	eV per atom

Geometry as POSCAR:
```
SrLaNpN3
1.0
3.7282 0.0000 0.0000
0.0000 7.8203 0.9098
0.0000 -2.0911 8.4508
Sr La Np N
2 2 2 6
Direct
0.7500 0.8363 0.8672
0.2500 0.1637 0.1328
0.2500 0.6042 0.1641
0.7500 0.3958 0.8359
0.2500 0.0551 0.5921
0.7500 0.9449 0.4079
0.2500 0.8013 0.4277
0.7500 0.9110 0.1778
0.7500 0.4006 0.1088
0.7500 0.1987 0.5723
0.2500 0.5994 0.8912
0.2500 0.0890 0.8222
```